! CdOs2SeO (PBE, relaxed); values from VASP
&SYSTEM
  ibrav = 0, nat = 5, ntyp = 4
/
ATOMIC_SPECIES
Cd 112.41 Cd.upf
Os 190.23 Os.upf
Se 78.96 Se.upf
O 16.00 O.upf
ATOMIC_POSITIONS angstrom
Cd 0.000 0.000 0.000
Os 0.000 2.332 1.978
Os 2.332 0.000 1.978
Se 2.332 2.332 1.978
O 2.332 2.332 0.000
CELL_PARAMETERS angstrom
4.664 0.000 0.000
0.000 4.664 0.000
0.000 0.000 3.957
! Space-group type = No. 123

! Sm2CdOsO8 (PBE, relaxed); values from VASP
&SYSTEM
  ibrav = 0, nat = 12, ntyp = 4
/
ATOMIC_SPECIES
Sm 150.36 Sm.upf
Cd 112.41 Cd.upf
Os 190.23 Os.upf
O 16.00 O.upf
ATOMIC_POSITIONS angstrom
Sm 0.007 0.000 1.773
Sm 6.879 0.000 5.490
Cd 3.447 0.000 0.000
Os 3.443 0.000 3.632
O 1.372 0.000 7.258
O 1.555 0.000 3.640
O 3.436 1.302 2.288
O 3.449 1.302 4.975
O 3.436 -1.302 2.288
O 3.449 -1.302 4.975
O 5.330 0.000 3.623
O 5.513 0.000 0.006
CELL_PARAMETERS angstrom
3.447 -3.606 0.000
3.447 3.606 0.000
-0.008 0.000 7.263
! Space-group type = No. 12

! CdSnOsO6 (PBE, relaxed); values from VASP
&SYSTEM
  ibrav = 0, nat = 18, ntyp = 4
/
ATOMIC_SPECIES
Cd 112.41 Cd.upf
Sn 118.71 Sn.upf
Os 190.23 Os.upf
O 16.00 O.upf
ATOMIC_POSITIONS angstrom
Cd 0.000 0.000 0.000
Cd 0.000 0.000 4.745
Sn 0.000 3.111 2.373
Sn 2.694 1.555 7.118
Os 0.000 3.111 7.118
Os 2.694 1.555 2.373
O -0.886 1.763 6.047
O -1.610 3.017 8.188
O 0.886 1.763 8.188
O -0.724 4.552 6.047
O 1.970 0.114 1.302
O 1.084 1.649 3.443
O 1.610 3.017 6.047
O 0.724 4.552 8.188
O 3.418 0.114 3.443
O 1.808 2.903 1.302
O 4.304 1.649 1.302
O 3.580 2.903 3.443
CELL_PARAMETERS angstrom
5.388 0.000 0.000
-2.694 4.666 0.000
0.000 0.000 9.490
! Space-group type = No. 163

! Cd2SnOsO8 (PBE, relaxed); values from VASP
&SYSTEM
  ibrav = 0, nat = 12, ntyp = 4
/
ATOMIC_SPECIES
Cd 112.41 Cd.upf
Sn 118.71 Sn.upf
Os 190.23 Os.upf
O 16.00 O.upf
ATOMIC_POSITIONS angstrom
Cd 0.000 1.620 0.000
Cd 0.000 4.901 0.000
Sn 2.333 3.261 2.506
Os 2.333 0.000 2.506
O 1.011 3.261 1.075
O 1.067 0.000 1.138
O 1.397 1.405 3.372
O 1.397 5.116 3.372
O 3.269 1.405 1.640
O 3.269 5.116 1.640
O 3.599 0.000 3.874
O 3.655 3.261 3.937
CELL_PARAMETERS angstrom
5.012 0.000 0.000
0.000 6.521 0.000
-0.346 0.000 5.012
! Space-group type = No. 10

! Cd2SnOsO6 (PBE, relaxed); values from VASP
&SYSTEM
  ibrav = 0, nat = 10, ntyp = 4
/
ATOMIC_SPECIES
Cd 112.41 Cd.upf
Sn 118.71 Sn.upf
Os 190.23 Os.upf
O 16.00 O.upf
ATOMIC_POSITIONS angstrom
Cd 0.000 2.745 0.000
Cd 2.745 0.000 0.000
Sn 0.000 0.000 2.923
Os 2.745 2.745 3.024
O 0.000 0.000 0.924
O 1.452 1.452 3.696
O 1.452 4.038 3.696
O 2.745 2.745 1.257
O 4.038 1.452 3.696
O 4.038 4.038 3.696
CELL_PARAMETERS angstrom
5.490 0.000 0.000
0.000 5.490 0.000
0.000 0.000 5.074
! Space-group type = No. 99

! Sr2CdOsO8 (PBE, relaxed); values from VASP
&SYSTEM
  ibrav = 0, nat = 12, ntyp = 4
/
ATOMIC_SPECIES
Sr 87.62 Sr.upf
Cd 112.41 Cd.upf
Os 190.23 Os.upf
O 16.00 O.upf
ATOMIC_POSITIONS angstrom
Sr 0.067 -0.046 1.916
Sr 3.035 5.042 4.956
Cd 2.295 2.668 0.000
Os 1.551 2.498 3.436
O 0.708 2.512 1.667
O 0.241 1.408 4.124
O 0.618 4.014 3.979
O 1.718 4.875 0.017
O 1.385 0.121 6.855
O 2.485 0.982 2.894
O 2.861 3.588 2.749
O 2.394 2.484 5.206
CELL_PARAMETERS angstrom
4.595 0.000 0.000
-0.005 5.336 0.000
-1.488 -0.340 6.872
! Space-group type = No. 2

! SrCd2OsO (PBE, relaxed); values from VASP
&SYSTEM
  ibrav = 0, nat = 5, ntyp = 4
/
ATOMIC_SPECIES
Sr 87.62 Sr.upf
Cd 112.41 Cd.upf
Os 190.23 Os.upf
O 16.00 O.upf
ATOMIC_POSITIONS angstrom
Sr 0.000 0.000 0.000
Cd 0.000 2.314 2.372
Cd 2.314 0.000 2.372
Os 2.314 2.314 0.000
O 0.000 0.000 2.372
CELL_PARAMETERS angstrom
4.628 0.000 0.000
0.000 4.628 0.000
0.000 0.000 4.744
! Space-group type = No. 123

! TiCdOsO6 (PBE, relaxed); values from VASP
&SYSTEM
  ibrav = 0, nat = 18, ntyp = 4
/
ATOMIC_SPECIES
Ti 47.87 Ti.upf
Cd 112.41 Cd.upf
Os 190.23 Os.upf
O 16.00 O.upf
ATOMIC_POSITIONS angstrom
Ti 0.000 2.986 2.433
Ti 2.586 1.493 7.298
Cd 0.000 0.000 0.000
Cd 0.000 0.000 4.865
Os 0.000 2.986 7.298
Os 2.586 1.493 2.433
O -0.930 1.655 6.236
O -1.617 2.847 8.360
O 0.930 1.655 8.360
O -0.688 4.457 6.236
O 1.898 0.023 1.370
O 0.969 1.633 3.495
O 1.617 2.847 6.236
O 0.688 4.457 8.360
O 3.274 0.023 3.495
O 1.656 2.824 1.370
O 4.204 1.633 1.370
O 3.516 2.824 3.495
CELL_PARAMETERS angstrom
5.172 0.000 0.000
-2.586 4.479 0.000
0.000 0.000 9.731
! Space-group type = No. 163

! Tl3Cd2OsO6 (PBE, relaxed); values from VASP
&SYSTEM
  ibrav = 0, nat = 12, ntyp = 4
/
ATOMIC_SPECIES
Tl 204.38 Tl.upf
Cd 112.41 Cd.upf
Os 190.23 Os.upf
O 16.00 O.upf
ATOMIC_POSITIONS angstrom
Tl 0.000 0.000 0.000
Tl 2.967 1.753 0.000
Tl 2.967 -1.753 0.000
Cd 2.099 3.456 3.151
Cd 2.099 -3.456 3.151
Os 2.099 0.000 3.151
O 1.188 1.427 2.118
O 0.521 0.000 4.393
O 1.188 -1.427 2.118
O 3.009 1.427 4.183
O 3.677 0.000 1.908
O 3.009 -1.427 4.183
CELL_PARAMETERS angstrom
2.967 -5.181 0.000
2.967 5.181 0.000
-1.737 0.000 6.301
! Space-group type = No. 12

! Tl3CdOs2O9 (PBE, relaxed); values from VASP
&SYSTEM
  ibrav = 0, nat = 15, ntyp = 4
/
ATOMIC_SPECIES
Tl 204.38 Tl.upf
Cd 112.41 Cd.upf
Os 190.23 Os.upf
O 16.00 O.upf
ATOMIC_POSITIONS angstrom
Tl 0.000 0.000 0.000
Tl 0.000 3.337 4.718
Tl 2.890 1.669 2.555
Cd 0.000 0.000 3.636
Os 0.000 3.337 1.113
Os 2.890 1.669 6.159
O -1.445 2.503 0.000
O 0.000 1.795 2.175
O -1.335 4.108 2.175
O 1.555 0.898 5.098
O 2.890 0.000 0.000
O 1.445 2.503 0.000
O 1.335 4.108 2.175
O 4.226 0.898 5.098
O 2.890 3.211 5.098
CELL_PARAMETERS angstrom
5.781 0.000 0.000
-2.890 5.006 0.000
0.000 0.000 7.273
! Space-group type = No. 164

! Tl2Cd2OsO6 (PBE, relaxed); values from VASP
&SYSTEM
  ibrav = 0, nat = 11, ntyp = 4
/
ATOMIC_SPECIES
Tl 204.38 Tl.upf
Cd 112.41 Cd.upf
Os 190.23 Os.upf
O 16.00 O.upf
ATOMIC_POSITIONS angstrom
Tl 2.960 3.296 0.000
Tl 2.960 -3.296 0.000
Cd 2.092 1.612 3.138
Cd 2.092 -1.612 3.138
Os -0.869 0.000 3.138
O -0.017 1.398 4.174
O 0.703 0.000 1.951
O -0.017 -1.398 4.174
O 4.200 1.398 2.101
O 3.481 0.000 4.324
O 4.200 -1.398 2.101
CELL_PARAMETERS angstrom
2.960 -5.004 0.000
2.960 5.004 0.000
-1.737 0.000 6.275
! Space-group type = No. 12

! TlCdOs2O8 (PBE, relaxed); values from VASP
&SYSTEM
  ibrav = 0, nat = 12, ntyp = 4
/
ATOMIC_SPECIES
Tl 204.38 Tl.upf
Cd 112.41 Cd.upf
Os 190.23 Os.upf
O 16.00 O.upf
ATOMIC_POSITIONS angstrom
Tl 0.000 0.000 0.000
Cd 0.000 0.000 3.999
Os 0.000 3.340 5.989
Os 2.893 1.670 2.010
O -0.519 1.709 5.453
O -1.153 4.606 5.453
O 0.000 3.340 7.757
O 1.220 1.304 2.546
O 1.673 3.706 5.453
O 2.893 1.670 0.242
O 4.046 0.404 2.546
O 3.412 3.302 2.546
CELL_PARAMETERS angstrom
5.785 0.000 0.000
-2.893 5.010 0.000
0.000 0.000 7.999
! Space-group type = No. 147

! TmCdOsO6 (PBE, relaxed); values from VASP
&SYSTEM
  ibrav = 0, nat = 18, ntyp = 4
/
ATOMIC_SPECIES
Tm 168.93 Tm.upf
Cd 112.41 Cd.upf
Os 190.23 Os.upf
O 16.00 O.upf
ATOMIC_POSITIONS angstrom
Tm 0.000 3.167 2.331
Tm 2.743 1.583 6.994
Cd 0.000 0.000 0.000
Cd 0.000 0.000 4.663
Os 0.000 3.167 6.994
Os 2.743 1.583 2.331
O -0.826 1.820 5.921
O -1.579 3.125 8.067
O 0.826 1.820 8.067
O -0.754 4.555 5.921
O 1.989 0.195 1.258
O 1.163 1.625 3.404
O 1.579 3.125 5.921
O 0.754 4.555 8.067
O 3.496 0.195 3.404
O 1.917 2.930 1.258
O 4.322 1.625 1.258
O 3.568 2.930 3.404
CELL_PARAMETERS angstrom
5.485 0.000 0.000
-2.743 4.750 0.000
0.000 0.000 9.325
! Space-group type = No. 163

! Tm2CdOsO8 (PBE, relaxed); values from VASP
&SYSTEM
  ibrav = 0, nat = 12, ntyp = 4
/
ATOMIC_SPECIES
Tm 168.93 Tm.upf
Cd 112.41 Cd.upf
Os 190.23 Os.upf
O 16.00 O.upf
ATOMIC_POSITIONS angstrom
Tm 0.000 1.694 0.000
Tm 0.000 5.264 0.000
Cd 2.356 0.000 2.443
Os 2.356 3.479 2.443
O 0.917 0.000 0.945
O 1.043 3.479 1.074
O 1.414 2.143 3.346
O 1.414 4.816 3.346
O 3.299 2.143 1.539
O 3.299 4.816 1.539
O 3.669 3.479 3.812
O 3.796 0.000 3.940
CELL_PARAMETERS angstrom
4.883 0.000 0.000
0.000 6.959 0.000
-0.170 0.000 4.885
! Space-group type = No. 10

no.,total energy (eV/atom),ΔE_f (raw) (eV/atom),total magnetization (Bohr magnetons per cell)
1,-5.15,1.21,2.0
2,-7.05,-1.94,0.0
3,-6.24,-1.14,0.0
4,-5.73,-1.00,0.0
5,-5.56,-0.88,0.0
6,-6.08,-1.48,0.0
7,-3.82,0.12,0.8
8,-7.16,-1.63,4.0
9,-4.97,-0.81,2.2
10,-5.86,-0.86,0.0
11,-5.20,-0.88,0.0
12,-6.33,-0.88,3.0
13,-6.82,-1.67,1.4
14,-7.09,-2.03,0.0